Record 1
A plane-wave DFT calculation with PBE-GGA was carried out for a relaxed KInHg3 crystal.

abc: 5.699 5.699 5.699
angles: 90.00 90.00 90.00
Fractional positions:
K: 0.000 0.000 0.000
In: 0.500 0.500 0.500
Hg: 0.000 0.500 0.500
Hg: 0.500 0.000 0.500
Hg: 0.500 0.500 0.000

Computed properties:
raw total energy	-1.01	eV per atom
calculated formation energy	-0.064	eV/atom
size of the total moment	0.00	μB per cell


Record 2
A plane-wave DFT calculation with PBE-GGA was carried out for a relaxed Sr2MnCr crystal.

abc: 4.199 6.308 6.308
angles: 45.59 90.00 90.00
Fractional positions:
Sr: 0.000 0.000 0.000
Sr: 0.500 0.291 0.291
Mn: 0.500 0.607 0.607
Cr: 0.000 0.683 0.683

Computed properties:
raw total energy	-4.80	eV per atom
calculated formation energy	0.738	eV/atom
size of the total moment	5.25	μB per cell


Record 3
A plane-wave DFT calculation with PBE-GGA was carried out for a relaxed Mg3ZnGa3 crystal.

abc: 7.832 7.832 4.993
angles: 90.00 90.00 120.00
Fractional positions:
Mg: 0.094 0.464 0.250
Mg: 0.370 0.906 0.250
Mg: 0.464 0.370 0.750
Mg: 0.536 0.630 0.250
Mg: 0.630 0.094 0.750
Mg: 0.906 0.536 0.750
Zn: 0.333 0.667 0.750
Zn: 0.667 0.333 0.250
Ga: 0.049 0.236 0.750
Ga: 0.187 0.951 0.750
Ga: 0.236 0.187 0.250
Ga: 0.764 0.813 0.750
Ga: 0.813 0.049 0.250
Ga: 0.951 0.764 0.250

Computed properties:
raw total energy	-2.24	eV per atom
calculated formation energy	-0.076	eV/atom
size of the total moment	0.00	μB per cell


Record 4
A plane-wave DFT calculation with PBE-GGA was carried out for a relaxed PuAl2O6 crystal.

abc: 8.663 8.663 4.417
angles: 90.00 90.00 120.00
Fractional positions:
Pu: 0.000 0.000 0.000
Pu: 0.333 0.667 0.495
Pu: 0.667 0.333 0.505
Al: 0.000 0.353 0.000
Al: 0.000 0.689 0.500
Al: 0.311 0.311 0.500
Al: 0.353 0.000 0.000
Al: 0.647 0.647 0.000
Al: 0.689 0.000 0.500
O: 0.098 0.560 0.253
O: 0.111 0.236 0.240
O: 0.125 0.889 0.240
O: 0.212 0.430 0.738
O: 0.219 0.788 0.738
O: 0.236 0.111 0.760
O: 0.430 0.212 0.262
O: 0.440 0.538 0.253
O: 0.462 0.902 0.253
O: 0.538 0.440 0.747
O: 0.560 0.098 0.747
O: 0.570 0.781 0.738
O: 0.764 0.875 0.240
O: 0.781 0.570 0.262
O: 0.788 0.219 0.262
O: 0.875 0.764 0.760
O: 0.889 0.125 0.760
O: 0.902 0.462 0.747

Computed properties:
formation energy without anion corrections	-23.34	eV/f.u.
raw total energy	-8.32	eV per atom
size of the total moment	6.00	μB per cell


Record 5
A plane-wave DFT calculation with PBE-GGA was carried out for a relaxed UGaIr crystal.

abc: 4.527 4.527 4.527
angles: 60.00 60.00 60.00
Fractional positions:
U: 0.000 0.000 0.000
Ga: 0.500 0.500 0.500
Ir: 0.250 0.250 0.250

Computed properties:
raw total energy	-8.02	eV per atom
calculated formation energy	-0.292	eV/atom
size of the total moment	2.22	μB per cell


Record 6
A plane-wave DFT calculation with PBE-GGA was carried out for a relaxed K3Zr2PaTe6 crystal.

abc: 7.323 7.323 8.859
angles: 97.93 97.93 120.13
Fractional positions:
K: 0.000 0.000 0.000
K: 0.337 0.663 0.000
K: 0.663 0.337 0.000
Zr: 0.168 0.832 0.500
Zr: 0.832 0.168 0.500
Pa: 0.500 0.500 0.500
Te: 0.087 0.430 0.291
Te: 0.225 0.225 0.707
Te: 0.430 0.087 0.291
Te: 0.570 0.913 0.709
Te: 0.775 0.775 0.293
Te: 0.913 0.570 0.709

Computed properties:
formation energy without anion corrections	-11.50	eV/f.u.
raw total energy	-5.02	eV per atom
size of the total moment	1.96	μB per cell


Record 7
A plane-wave DFT calculation with PBE-GGA was carried out for a relaxed CdTeCl2 crystal.

abc: 4.785 4.785 9.231
angles: 90.00 90.00 133.28
Fractional positions:
Cd: 0.000 0.000 0.000
Te: 0.500 0.500 0.237
Cl: 0.000 0.000 0.442
Cl: 0.500 0.500 0.818

Computed properties:
formation energy without anion corrections	-1.38	eV/f.u.
raw total energy	-2.28	eV per atom
size of the total moment	0.00	μB per cell


Record 8
A plane-wave DFT calculation with PBE-GGA was carried out for a relaxed LiP2RhO8 crystal.

abc: 5.481 5.481 5.481
angles: 106.59 106.59 115.41
Fractional positions:
Li: 0.000 0.000 0.000
P: 0.250 0.750 0.500
P: 0.500 0.500 0.000
Rh: 0.750 0.250 0.500
O: 0.077 0.397 0.320
O: 0.077 0.757 0.680
O: 0.147 0.327 0.820
O: 0.243 0.923 0.320
O: 0.507 0.327 0.180
O: 0.603 0.923 0.680
O: 0.673 0.493 0.820
O: 0.673 0.853 0.180

Computed properties:
formation energy without anion corrections	-16.83	eV/f.u.
raw total energy	-6.38	eV per atom
size of the total moment	2.29	μB per cell


Record 9
A plane-wave DFT calculation with PBE-GGA was carried out for a relaxed NbFeNiIr crystal.

abc: 4.266 4.266 4.266
angles: 60.00 60.00 60.00
Fractional positions:
Nb: 0.000 0.000 0.000
Fe: 0.750 0.750 0.750
Ni: 0.250 0.250 0.250
Ir: 0.500 0.500 0.500

Computed properties:
raw total energy	-8.43	eV per atom
calculated formation energy	-0.137	eV/atom
size of the total moment	1.92	μB per cell


Record 10
A plane-wave DFT calculation with PBE-GGA was carried out for a relaxed Na2PmI4 crystal.

abc: 7.431 7.431 7.431
angles: 114.51 114.51 99.81
Fractional positions:
Na: 0.250 0.750 0.500
Na: 0.750 0.250 0.500
Pm: 0.000 0.000 0.000
I: 0.158 0.643 0.000
I: 0.357 0.357 0.515
I: 0.643 0.158 0.000
I: 0.842 0.842 0.485

Computed properties:
formation energy without anion corrections	-7.39	eV/f.u.
raw total energy	-3.00	eV per atom
size of the total moment	1.02	μB per cell


Record 11
A plane-wave DFT calculation with PBE-GGA was carried out for a relaxed Be2InMo crystal.

abc: 2.945 2.945 6.452
angles: 90.00 90.00 97.59
Fractional positions:
Be: 0.000 0.000 0.000
Be: 0.500 0.500 0.145
In: 0.000 0.000 0.431
Mo: 0.500 0.500 0.769

Computed properties:
raw total energy	-4.89	eV per atom
calculated formation energy	0.368	eV/atom
size of the total moment	0.00	μB per cell


Record 12
A plane-wave DFT calculation with PBE-GGA was carried out for a relaxed LiGaFeMo crystal.

abc: 4.132 4.132 4.132
angles: 60.00 60.00 60.00
Fractional positions:
Li: 0.000 0.000 0.000
Ga: 0.250 0.250 0.250
Fe: 0.500 0.500 0.500
Mo: 0.750 0.750 0.750

Computed properties:
raw total energy	-6.19	eV per atom
calculated formation energy	-0.133	eV/atom
size of the total moment	0.00	μB per cell


Record 13
A plane-wave DFT calculation with PBE-GGA was carried out for a relaxed ErPaOs2 crystal.

abc: 6.487 6.487 5.951
angles: 113.99 113.99 48.30
Fractional positions:
Er: 0.149 0.149 0.492
Er: 0.851 0.851 0.508
Pa: 0.354 0.354 0.176
Pa: 0.646 0.646 0.824
Os: 0.106 0.106 0.970
Os: 0.415 0.415 0.746
Os: 0.585 0.585 0.254
Os: 0.894 0.894 0.030

Computed properties:
raw total energy	-9.26	eV per atom
calculated formation energy	-0.135	eV/atom
size of the total moment	0.00	μB per cell


Record 14
A plane-wave DFT calculation with PBE-GGA was carried out for a relaxed Cs2Bi2Cl7 crystal.

abc: 7.713 7.713 7.244
angles: 95.07 95.07 72.74
Fractional positions:
Cs: 0.227 0.773 0.000
Cs: 0.773 0.227 0.000
Bi: 0.237 0.237 0.561
Bi: 0.763 0.763 0.439
Cl: 0.000 0.000 0.500
Cl: 0.047 0.501 0.273
Cl: 0.437 0.437 0.700
Cl: 0.499 0.953 0.727
Cl: 0.501 0.047 0.273
Cl: 0.563 0.563 0.300
Cl: 0.953 0.499 0.727

Computed properties:
formation energy without anion corrections	-13.73	eV/f.u.
raw total energy	-3.28	eV per atom
size of the total moment	0.00	μB per cell


Record 15
A plane-wave DFT calculation with PBE-GGA was carried out for a relaxed MnOsRu2 crystal.

abc: 8.769 8.769 8.769
angles: 17.66 17.66 17.66
Fractional positions:
Mn: 0.000 0.000 0.000
Os: 0.500 0.500 0.500
Ru: 0.253 0.253 0.253
Ru: 0.747 0.747 0.747

Computed properties:
raw total energy	-9.58	eV per atom
calculated formation energy	0.160	eV/atom
size of the total moment	1.18	μB per cell


Record 16
A plane-wave DFT calculation with PBE-GGA was carried out for a relaxed BaLuZn crystal.

abc: 7.232 7.232 7.232
angles: 149.64 149.64 43.48
Fractional positions:
Ba: 0.000 0.000 0.000
Lu: 0.271 0.271 0.000
Zn: 0.677 0.677 0.000

Computed properties:
raw total energy	-2.63	eV per atom
calculated formation energy	-0.059	eV/atom
size of the total moment	0.00	μB per cell


Record 17
A plane-wave DFT calculation with PBE-GGA was carried out for a relaxed Li2VPb2 crystal.

abc: 7.552 7.552 3.531
angles: 90.00 90.00 90.00
Fractional positions:
Li: 0.123 0.377 0.000
Li: 0.377 0.877 0.000
Li: 0.623 0.123 0.000
Li: 0.877 0.623 0.000
V: 0.000 0.000 0.000
V: 0.500 0.500 0.000
Pb: 0.176 0.676 0.500
Pb: 0.324 0.176 0.500
Pb: 0.676 0.824 0.500
Pb: 0.824 0.324 0.500

Computed properties:
raw total energy	-3.88	eV per atom
calculated formation energy	0.191	eV/atom
size of the total moment	6.17	μB per cell


Record 18
A plane-wave DFT calculation with PBE-GGA was carried out for a relaxed Li2Hg crystal.

abc: 11.127 11.127 11.127
angles: 162.80 162.80 24.41
Fractional positions:
Li: 0.304 0.554 0.750
Li: 0.446 0.696 0.750
Li: 0.554 0.304 0.250
Li: 0.696 0.446 0.250
Hg: 0.125 0.875 0.250
Hg: 0.875 0.125 0.750

Computed properties:
raw total energy	-1.58	eV per atom
calculated formation energy	-0.204	eV/atom
size of the total moment	0.00	μB per cell


Record 19
A plane-wave DFT calculation with PBE-GGA was carried out for a relaxed EuAgH3 crystal.

abc: 3.907 3.907 3.907
angles: 90.00 90.00 90.00
Fractional positions:
Eu: 0.000 0.000 0.000
Ag: 0.500 0.500 0.500
H: 0.000 0.500 0.500
H: 0.500 0.000 0.500
H: 0.500 0.500 0.000

Computed properties:
raw total energy	-4.88	eV per atom
size of the total moment	7.09	μB per cell


Record 20
A plane-wave DFT calculation with PBE-GGA was carried out for a relaxed K3Ba6Na2Ir crystal.

abc: 8.691 8.691 10.469
angles: 95.76 95.76 109.63
Fractional positions:
K: 0.000 0.000 0.000
K: 0.286 0.714 0.000
K: 0.714 0.286 0.000
Ba: 0.169 0.474 0.348
Ba: 0.320 0.320 0.710
Ba: 0.474 0.169 0.348
Ba: 0.526 0.831 0.652
Ba: 0.680 0.680 0.290
Ba: 0.831 0.526 0.652
Na: 0.117 0.883 0.500
Na: 0.883 0.117 0.500
Ir: 0.500 0.500 0.500

Computed properties:
raw total energy	-2.19	eV per atom
calculated formation energy	0.006	eV/atom
size of the total moment	0.00	μB per cell